(1)
## BaCrPd (GGA-PBE)

Data for a geometry-optimized BaCrPd structure.

Structure (POSCAR):
```
BaCrPd
1.0
-1.0325 -4.9402 -0.1973
-4.6432 -1.5624 -1.2287
-0.8163 -2.2333 -4.4561
Ba Cr Pd
1 1 1
direct
0.7500 0.7500 0.7500
0.2500 0.2500 0.2500
0.5000 0.5000 0.5000
```

**Energy of formation from the pure elements**: 0.377 eV/atom
**Crystal system**: cubic
**Mass density**: 5.39 g cm⁻³
**Final energy**: -15.61 eV/cell
**Distance to the lowest polymorph of the same formula**: 291 meV per atom

***

(2)
## BaCrPd (GGA-PBE)

Data for a geometry-optimized BaCrPd structure.

Structure (POSCAR):
```
BaCrPd
1.0
-0.1069 2.2080 3.8741
-5.7892 -1.6314 -1.8012
0.5317 -5.1329 2.9402
Cr Ba Pd
2 2 2
direct
0.3354 0.2945 0.2686
0.3354 0.2945 0.7686
0.6306 0.8845 0.0186
0.0404 0.7047 0.5186
0.7721 0.1681 0.5186
0.8989 0.4212 0.0186
```

**Energy of formation from the pure elements**: 0.086 eV/atom
**Crystal system**: orthorhombic
**Mass density**: 6.32 g cm⁻³
**Final energy**: -32.96 eV/cell
**Distance to the lowest polymorph of the same formula**: 0 meV per atom

***

(3)
## BaCr2Pd (GGA-PBE)

Data for a geometry-optimized BaCr2Pd structure.

Structure (POSCAR):
```
BaCr2Pd
1.0
-1.7484 2.2310 3.6570
-4.4072 -0.6790 1.2342
-0.9848 -2.3271 3.8759
Cr Pd Ba
2 1 1
direct
0.7500 0.7500 0.7500
0.2500 0.2500 0.2500
0.0000 0.0000 0.0000
0.5000 0.5000 0.5000
```

**Energy of formation from the pure elements**: 1.316 eV/atom
**Crystal system**: cubic
**Mass density**: 8.24 g cm⁻³
**Final energy**: -21.10 eV/cell
**Distance to the lowest polymorph of the same formula**: 578 meV per atom

***

(4)
## BaCrPd (GGA-PBE)

Data for a geometry-optimized BaCrPd structure.

Structure (POSCAR):
```
BaCrPd
1.0
6.9761 -0.1103 0.0866
0.3070 4.7853 0.0399
-0.3076 -1.0537 4.6676
Pd Ba Cr
2 2 2
direct
0.9120 0.2861 0.3409
0.6443 0.9325 0.6942
0.1217 0.8836 0.7432
0.4346 0.3351 0.2918
0.7781 0.7599 0.1679
0.7782 0.4587 0.8672
```

**Energy of formation from the pure elements**: 0.197 eV/atom
**Crystal system**: monoclinic
**Mass density**: 6.28 g cm⁻³
**Final energy**: -32.30 eV/cell
**Distance to the lowest polymorph of the same formula**: 111 meV per atom

***

(5)
## BaCrPd (GGA-PBE)

Data for a geometry-optimized BaCrPd structure.

Structure (POSCAR):
```
BaCrPd
1.0
6.0984 0.0000 0.0000
0.0000 4.6343 0.0000
0.0000 0.0000 12.2469
Ba Pd Cr
4 4 4
direct
0.8699 0.2500 0.3679
0.6301 0.7500 0.8679
0.1301 0.7500 0.6321
0.3699 0.2500 0.1321
0.6210 0.7500 0.5398
0.8790 0.2500 0.0398
0.1210 0.7500 0.9602
0.3790 0.2500 0.4602
0.8681 0.7500 0.1419
0.1319 0.2500 0.8581
0.6319 0.2500 0.6419
0.3681 0.7500 0.3581
```

**Energy of formation from the pure elements**: 0.152 eV/atom
**Crystal system**: orthorhombic
**Mass density**: 5.68 g cm⁻³
**Final energy**: -65.14 eV/cell
**Distance to the lowest polymorph of the same formula**: 66 meV per atom

***

(6)
## BaCrPd (GGA-PBE)

Data for a geometry-optimized BaCrPd structure.

Structure (POSCAR):
```
BaCrPd
1.0
6.6651 0.0229 0.0021
-0.0009 5.3122 0.0288
3.3471 2.5749 4.2588
Pd Ba Cr
2 2 2
direct
0.6701 0.4999 0.7792
0.2344 0.5010 0.7801
0.3139 0.8495 0.0563
0.0388 0.0820 0.6068
0.7469 0.2474 0.1893
0.6647 0.4761 0.3558
```

**Energy of formation from the pure elements**: 0.241 eV/atom
**Crystal system**: triclinic
**Mass density**: 6.54 g cm⁻³
**Final energy**: -32.03 eV/cell
**Distance to the lowest polymorph of the same formula**: 155 meV per atom

***

(7)
## BaCrPd (GGA-PBE)

Data for a geometry-optimized BaCrPd structure.

Structure (POSCAR):
```
BaCrPd
1.0
-2.4950 -3.6170 2.7170
2.5052 -2.0159 4.5328
-4.1797 6.4090 -0.2260
Pd Ba Cr
2 2 2
direct
0.5282 0.5773 0.1164
0.2013 0.5798 0.4668
0.5620 0.0402 0.6480
0.8525 0.0922 0.2809
0.2726 0.8708 0.8996
0.1323 0.2874 0.0357
```

**Energy of formation from the pure elements**: 0.223 eV/atom
**Crystal system**: monoclinic
**Mass density**: 6.19 g cm⁻³
**Final energy**: -32.14 eV/cell
**Distance to the lowest polymorph of the same formula**: 137 meV per atom

***

(8)
## BaTaCr2Pd (GGA-PBE)

Data for a geometry-optimized BaTaCr2Pd structure.

Structure (POSCAR):
```
BaTaCr2Pd
1.0
-4.7243 -0.5427 -0.8206
1.0309 -3.6220 -3.5401
-0.2034 -3.3995 3.4189
Ta Pd Ba Cr
1 1 1 2
direct
0.0000 0.5000 0.0000
0.5000 0.5000 0.5000
0.0000 0.0000 0.0000
0.0000 0.0000 0.5000
0.5000 0.0000 0.0000
```

**Energy of formation from the pure elements**: 2.637 eV/atom
**Crystal system**: tetragonal
**Mass density**: 7.29 g cm⁻³
**Final energy**: -25.03 eV/cell

***

(9)
## BaCr2Pt (GGA-PBE)

Data for a geometry-optimized BaCr2Pt structure.

Structure (POSCAR):
```
BaCr2Pt
1.0
2.5806 1.2451 3.6265
0.5569 4.4751 1.0125
-2.0076 1.7857 3.7606
Cr Pt Ba
2 1 1
direct
0.7500 0.7500 0.7500
0.2500 0.2500 0.2500
0.5000 0.5000 0.5000
0.0000 0.0000 0.0000
```

**Energy of formation from the pure elements**: 1.112 eV/atom
**Crystal system**: cubic
**Mass density**: 10.38 g cm⁻³
**Final energy**: -22.76 eV/cell
**Distance to the lowest polymorph of the same formula**: 1019 meV per atom

***

(10)
## BaCrPt3 (GGA-PBE)

Data for a geometry-optimized BaCrPt3 structure.

Structure (POSCAR):
```
BaCrPt3
1.0
-4.9215 -0.7628 -1.8147
-0.5009 -4.2403 3.1409
-1.9037 3.0877 3.8650
Cr Pt Ba
1 3 1
direct
0.5000 0.5000 0.5000
0.5000 0.0000 0.0000
0.0000 0.0000 0.5000
0.0000 0.5000 0.0000
0.0000 0.0000 0.0000
```

**Energy of formation from the pure elements**: 2.342 eV/atom
**Crystal system**: cubic
**Mass density**: 8.64 g cm⁻³
**Final energy**: -17.96 eV/cell
**Distance to the lowest polymorph of the same formula**: 2305 meV per atom

***

(11)
## BaCr2Pt (GGA-PBE)

Data for a geometry-optimized BaCr2Pt structure.

Structure (POSCAR):
```
BaCr2Pt
1.0
6.1561 -0.1265 -0.2416
2.9187 5.4217 0.2416
-3.7472 -4.0018 2.8135
Ba Pt Cr
1 1 2
direct
0.2500 0.7500 0.5000
0.7500 0.2500 0.5000
0.9472 0.9472 0.0000
0.5528 0.5528 0.0000
```

**Energy of formation from the pure elements**: 0.539 eV/atom
**Crystal system**: orthorhombic
**Mass density**: 7.33 g cm⁻³
**Final energy**: -25.05 eV/cell
**Distance to the lowest polymorph of the same formula**: 446 meV per atom

***

(12)
## BaCr2Pt (GGA-PBE)

Data for a geometry-optimized BaCr2Pt structure.

Structure (POSCAR):
```
BaCr2Pt
1.0
-3.9333 -1.5077 0.7745
1.1114 -2.6594 0.4671
2.9457 -3.8746 7.4174
Ba Pt Cr
1 1 2
direct
0.5000 0.7500 0.7500
0.5000 0.2500 0.2500
0.0000 0.0247 0.1128
0.0000 0.4753 0.3872
```

**Energy of formation from the pure elements**: 0.504 eV/atom
**Crystal system**: orthorhombic
**Mass density**: 8.67 g cm⁻³
**Final energy**: -25.19 eV/cell
**Distance to the lowest polymorph of the same formula**: 410 meV per atom

***

- What is the mass density in the fifth record?
  5.68 g cm⁻³

***

- Look up the mass density of the second one.
  6.32 g cm⁻³

***

- Look up the energy of formation from the pure elements of the second one.
  0.086 eV/atom